(1)
# SbRhO3

A geometry-optimized SbRhO3 structure (GGA-PBE, the Alexandria database).

Uncorrected formation energy   -287 meV per atom
Calculated density   7262 kg/m³

a b c (Å): 3.9654 3.9654 3.9654
angles (deg): 90.00 90.00 90.00
Atoms (fractional coordinates):
1 Sb 0.0000 0.0000 0.0000
2 Rh 0.5000 0.5000 0.5000
3 O 0.0000 0.0000 0.5000
4 O 0.0000 0.5000 0.0000
5 O 0.5000 0.0000 0.0000

(2)
# SbRh2O6

A geometry-optimized SbRh2O6 structure (GGA-PBE, the Alexandria database).

Uncorrected formation energy   -977 meV per atom
Calculated density   6900 kg/m³

a b c (Å): 4.6305 4.6305 9.5079
angles (deg): 90.00 90.00 90.00
Atoms (fractional coordinates):
1 Sb 0.0000 0.0000 0.0000
2 Sb 0.5000 0.5000 0.5000
3 Rh 0.0000 0.0000 0.3322
4 Rh 0.0000 0.0000 0.6678
5 Rh 0.5000 0.5000 0.1678
6 Rh 0.5000 0.5000 0.8322
7 O 0.1916 0.1916 0.5000
8 O 0.1933 0.1933 0.1663
9 O 0.1933 0.1933 0.8337
10 O 0.3067 0.6933 0.3337
11 O 0.3067 0.6933 0.6663
12 O 0.3084 0.6916 0.0000
13 O 0.6916 0.3084 0.0000
14 O 0.6933 0.3067 0.3337
15 O 0.6933 0.3067 0.6663
16 O 0.8067 0.8067 0.1663
17 O 0.8067 0.8067 0.8337
18 O 0.8084 0.8084 0.5000

(3)
# Sb3RhO

A geometry-optimized Sb3RhO structure (GGA-PBE, the Alexandria database).

Uncorrected formation energy   58 meV per atom
Calculated density   7944 kg/m³

a b c (Å): 4.6602 4.6602 4.6602
angles (deg): 90.00 90.00 90.00
Atoms (fractional coordinates):
1 Sb 0.0000 0.0000 0.5000
2 Sb 0.0000 0.5000 0.0000
3 Sb 0.5000 0.0000 0.0000
4 Rh 0.5000 0.5000 0.5000
5 O 0.0000 0.0000 0.0000

(4)
# Sb2RhO6

A geometry-optimized Sb2RhO6 structure (GGA-PBE, the Alexandria database).

Uncorrected formation energy   -1135 meV per atom
Calculated density   6650 kg/m³

a b c (Å): 9.0105 9.0105 4.7138
angles (deg): 90.00 90.00 120.00
Atoms (fractional coordinates):
1 Sb 0.0000 0.3592 0.0000
2 Sb 0.0000 0.6930 0.5000
3 Sb 0.3070 0.3070 0.5000
4 Sb 0.3592 0.0000 0.0000
5 Sb 0.6408 0.6408 0.0000
6 Sb 0.6930 0.0000 0.5000
7 Rh 0.0000 0.0000 0.0000
8 Rh 0.3333 0.6667 0.4905
9 Rh 0.6667 0.3333 0.5095
10 O 0.1012 0.2184 0.2324
11 O 0.1140 0.5808 0.2608
12 O 0.1171 0.8988 0.2324
13 O 0.2184 0.1012 0.7676
14 O 0.2207 0.4450 0.7213
15 O 0.2243 0.7793 0.7213
16 O 0.4192 0.5331 0.2608
17 O 0.4450 0.2207 0.2787
18 O 0.4669 0.8860 0.2608
19 O 0.5331 0.4192 0.7392
20 O 0.5550 0.7757 0.7213
21 O 0.5808 0.1140 0.7392
22 O 0.7757 0.5550 0.2787
23 O 0.7793 0.2243 0.2787
24 O 0.7816 0.8829 0.2324
25 O 0.8829 0.7816 0.7676
26 O 0.8860 0.4669 0.7392
27 O 0.8988 0.1171 0.7676

| no. | Fermi-level density of states (states/eV/atom) |
| --- | --- |
| 1 | 1.0120 |
| 2 | 0.5976 |
| 3 | 0.3646 |
| 4 | 0.3563 |